VASP calculation (GGA-PBEsol) on a relaxed CaY2NbMo crystal.

It has space group P4/mmm (No. 123), with a = 5.2346 Å, b = 5.2346 Å, c = 4.6549 Å, α = 90.00°, β = 90.00° and γ = 90.00°. The asymmetric unit holds Ca at (0.0000, 0.0000, 0.0000), Y at (0.0000, 0.5000, 0.0000), Nb at (0.0000, 0.0000, 0.5000) and Mo at (0.5000, 0.5000, 0.5000).

As for the crystal system: tetragonal. The total energy is -5.673 eV per atom. The formation energy comes out at 2.00 eV/atom.